No. 1
Material: PmPaMn2S8
Method: DFT, PBE
State: relaxed

Summary:
ΔE_f (raw): -87.6 kJ per mole of atoms
theoretical density: 4.69 g cm⁻³
crystal system: tetragonal

abc: 6.3295 6.3295 13.1219
angles: 90.00 90.00 90.00
With the nearest neighbours (Å) after each atom.
Space group I-4 (No. 82)
Unique sites:
Pm 0.0000 0.0000 0.0000  8 S 2.87-2.93
Pa 0.0000 0.5000 0.7500  8 S 2.71-2.81
Mn 0.0000 0.0000 0.5000  4 S 2.21
Mn 0.0000 0.5000 0.2500  4 S 2.25
S 0.1406 0.2758 0.5777  1 Mn 2.21
S 0.1630 0.7793 0.1794  1 Mn 2.25

No. 2
Material: AcPm5In2
Method: DFT, PBE
State: relaxed

Summary:
theoretical density: 7.37 g cm⁻³
ΔE_f: -0.181 eV/atom
crystal system: orthorhombic

abc: 3.7788 10.8315 13.0091
angles: 90.00 90.00 90.00
With the nearest neighbours (Å) after each atom.
Space group Immm (No. 71)
Unique sites:
Ac 0.0000 0.0000 0.0000  4 In 3.64, 2 Ac 3.78, 8 Pm 3.99
Pm 0.0000 0.2218 0.3616  3 In 3.29-3.44, 5 Pm 3.52-3.60
Pm 0.0000 0.5000 0.0000  2 In 3.39, 10 Pm 3.55-3.78
In 0.0000 0.5000 0.2605  7 Pm 3.29-3.44, 2 Ac 3.64

No. 3
Material: TeCl3
Method: DFT, PBE
State: relaxed

Summary:
ΔE_f (raw): -20.5 kJ per mole of atoms
theoretical density: 2.93 g cm⁻³
crystal system: orthorhombic
relative energy among the computed polymorphs: 207 meV/atom

abc: 3.7537 10.2212 6.9193
angles: 90.00 90.00 90.00
With the nearest neighbours (Å) after each atom.
Space group Imm2 (No. 44)
Unique sites:
Te 0.0000 0.0000 0.0000  6 Cl 2.65-2.78
Cl 0.0000 0.3412 0.6818  2 Te 2.78
Cl 0.0000 0.5000 0.2296  2 Te 2.65

No. 4
Material: CdHPtRh2
Method: DFT, PBE
State: relaxed

Summary:
theoretical density: 13.01 g cm⁻³
crystal system: tetragonal
relative energy among the computed polymorphs: 0 meV/atom

abc: 4.0545 4.0545 3.9934
angles: 90.00 90.00 90.00
With the nearest neighbours (Å) after each atom.
Space group P4/mmm (No. 123)
Unique sites:
Cd 0.0000 0.0000 0.0000  8 Rh 2.85, 4 Pt 2.87
H 0.5000 0.5000 0.5000  2 Pt 2.00, 4 Rh 2.03
Pt 0.5000 0.5000 0.0000  2 H 2.00
Rh 0.0000 0.5000 0.5000  2 H 2.03

No. 5
Material: Ta2SiOs
Method: DFT, PBE
State: relaxed

Summary:
ΔE_f (raw): -23.6 kJ per mole of atoms
theoretical density: 15.53 g cm⁻³
crystal system: orthorhombic

abc: 3.2408 4.3455 8.8133
angles: 90.00 90.00 90.00
With the nearest neighbours (Å) after each atom.
Space group Immm (No. 71)
Unique sites:
Ta 0.0000 0.0000 0.2501  4 Ta 2.71, 2 Si 2.73, 2 Os 2.74
Si 0.0000 0.5000 0.0000  4 Os 2.71, 4 Ta 2.73
Os 0.0000 0.5000 0.5000  4 Si 2.71, 4 Ta 2.74

No. 6
Material: TbDySc
Method: DFT, PBE
State: relaxed

Summary:
theoretical density: 6.94 g cm⁻³
ΔE_f: 0.045 eV/atom
crystal system: tetragonal
relative energy among the computed polymorphs: 14 meV/atom

abc: 3.4751 3.4751 14.5086
angles: 90.00 90.00 90.00
With the nearest neighbours (Å) after each atom.
Space group I4mm (No. 107)
Unique sites:
Tb 0.0000 0.0000 0.0000  4 Sc 3.40, 4 Tb 3.48, 4 Dy 3.55
Dy 0.0000 0.0000 0.3234  4 Sc 3.39, 4 Dy 3.48, 4 Tb 3.55
Sc 0.0000 0.0000 0.6620  4 Dy 3.39, 4 Tb 3.40, 4 Sc 3.48

No. 7
Material: RbNa2MgBi
Method: DFT, PBE
State: relaxed

Summary:
theoretical density: 2.68 g cm⁻³
ΔE_f: -0.071 eV/atom
crystal system: tetragonal

abc: 6.1450 6.1450 5.9779
angles: 90.00 90.00 90.00
With the nearest neighbours (Å) after each atom.
Space group P4/mmm (No. 123)
Unique sites:
Rb 0.0000 0.0000 0.0000  8 Na 4.29, 4 Mg 4.35
Na 0.0000 0.5000 0.5000  2 Bi 3.07
Mg 0.5000 0.5000 0.0000  2 Bi 2.99
Bi 0.5000 0.5000 0.5000  2 Mg 2.99, 4 Na 3.07

No. 8
Material: MgGaReOs2
Method: DFT, PBE
State: relaxed

Summary:
theoretical density: 12.61 g cm⁻³
ΔE_f: 2.229 eV/atom
crystal system: tetragonal

abc: 4.4841 4.4841 4.3273
angles: 90.00 90.00 90.00
With the nearest neighbours (Å) after each atom.
Space group P4/mmm (No. 123)
Unique sites:
Mg 0.0000 0.0000 0.0000  2 Ga 2.16, 4 Os 2.24
Ga 0.0000 0.0000 0.5000  2 Mg 2.16
Re 0.5000 0.5000 0.5000  8 Os 3.12, 4 Ga 3.17
Os 0.0000 0.5000 0.0000  2 Mg 2.24

No. 9
Material: Li6BiSb
Method: DFT, PBE
State: relaxed

Summary:
ΔE_f (raw): -55.6 kJ per mole of atoms
theoretical density: 4.21 g cm⁻³
crystal system: trigonal

abc: 4.6994 4.6994 23.0292
angles: 90.00 90.00 120.00
With the nearest neighbours (Å) after each atom.
Space group R-3m (No. 166, hexagonal axes)
Unique sites:
Li 0.0000 0.0000 0.1236  1 Sb 2.85, 4 Li 2.87-2.91, 3 Bi 2.89
Li 0.0000 0.0000 0.2501  8 Li 2.84-2.91
Li 0.0000 0.0000 0.3736  4 Li 2.84-2.89, 3 Sb 2.87, 1 Bi 2.91
Bi 0.0000 0.0000 0.5000  8 Li 2.89-2.91
Sb 0.0000 0.0000 0.0000  8 Li 2.85-2.87

No. 10
Material: HfZn2CdCo
Method: DFT, PBE
State: relaxed

Summary:
theoretical density: 6.70 g cm⁻³
ΔE_f: 1.264 eV/atom
crystal system: tetragonal

abc: 4.7066 4.7066 5.3767
angles: 90.00 90.00 90.00
With the nearest neighbours (Å) after each atom.
Space group P4/mmm (No. 123)
Unique sites:
Hf 0.0000 0.0000 0.0000  2 Cd 2.69
Zn 0.0000 0.5000 0.5000  2 Cd 2.35
Cd 0.0000 0.0000 0.5000  4 Zn 2.35
Co 0.5000 0.5000 0.0000  4 Hf 3.33, 8 Zn 3.57

No. 11
Material: TbPuCu
Method: DFT, PBE
State: relaxed

Summary:
theoretical density: 10.54 g cm⁻³
ΔE_f: 0.071 eV/atom
crystal system: monoclinic
relative energy among the computed polymorphs: 27 meV/atom

abc: 6.0655 6.7996 7.1518
angles: 90.00 94.59 90.00
With the nearest neighbours (Å) after each atom.
Space group P2_1/c (No. 14)
Unique sites:
Tb 0.1334 0.1560 0.3265  3 Cu 2.84-3.11
Pu 0.3251 0.6570 0.4971  4 Cu 2.84-3.01, 1 Pu 3.01
Cu 0.4005 0.0379 0.6519  1 Cu 2.62, 3 Pu 2.84-2.91, 1 Tb 2.84

No. 12
Material: NdMgCu2Ge2
Method: DFT, PBE
State: relaxed

Summary:
theoretical density: 6.70 g cm⁻³
ΔE_f: -0.481 eV/atom
crystal system: trigonal

abc: 4.2390 4.2390 7.0212
angles: 90.00 90.00 120.00
With the nearest neighbours (Å) after each atom.
Space group P-3m1 (No. 164)
Unique sites:
Nd 0.0000 0.0000 0.0000  6 Ge 3.08, 6 Cu 3.31
Mg 0.0000 0.0000 0.5000  6 Cu 2.76, 6 Ge 2.94
Cu 0.3333 0.6667 0.6821  3 Ge 2.47, 3 Mg 2.76
Ge 0.3333 0.6667 0.2671  3 Cu 2.47

No. 13
Material: Pm3Pr5Y4
Method: DFT, PBE
State: relaxed

Summary:
theoretical density: 5.90 g cm⁻³
ΔE_f: 0.204 eV/atom
crystal system: monoclinic
relative energy among the computed polymorphs: 192 meV/atom

abc: 16.4272 6.0631 9.4498
angles: 90.00 116.51 90.00
With the nearest neighbours (Å) after each atom.
Space group C2/m (No. 12)
Unique sites:
Pm 0.0000 0.0000 0.0000  2 Pr 3.03
Pm 0.2086 0.5000 0.2294  3 Pr 3.13-3.28, 2 Y 3.36-3.47
Pr 0.0000 0.5000 0.0000  4 Pm 3.03-3.13
Pr 0.0769 0.0000 0.7001  2 Pm 3.28-3.58, 1 Pr 3.49
Pr 0.1735 0.0000 0.3838  4 Pm 3.28-3.52, 3 Y 3.53-3.61
Y 0.0810 0.5000 0.4396  2 Y 3.33-3.72, 1 Pm 3.47, 3 Pr 3.53-3.61
Y 0.2130 0.5000 0.8778  3 Pm 3.36-3.61, 3 Y 3.67-3.72, 3 Pr 3.70

No. 14
Material: Ho6SnGe2Te3
Method: DFT, PBE
State: relaxed

Summary:
ΔE_f (raw): -107.8 kJ per mole of atoms
theoretical density: 8.06 g cm⁻³
crystal system: monoclinic

abc: 18.8040 4.2598 8.6743
angles: 90.00 103.93 90.00
With the nearest neighbours (Å) after each atom.
Space group C2/m (No. 12)
Unique sites:
Ho 0.0093 0.0000 0.2493  1 Ge 2.89, 2 Sn 3.01, 3 Te 3.08-3.17
Ho 0.1664 0.5000 0.1076  2 Ge 2.90, 1 Sn 3.04, 3 Te 3.10-3.19
Ho 0.1745 0.5000 0.5667  3 Ge 2.88-2.91, 3 Te 3.18-3.19
Sn 0.0000 0.5000 0.0000  6 Ho 3.01-3.04
Ge 0.1676 0.0000 0.3357  6 Ho 2.88-2.91
Te 0.0000 0.5000 0.5000  6 Ho 3.08-3.19
Te 0.1645 0.0000 0.8328  6 Ho 3.10-3.19

No. 15
Material: Pr6Nd2Y3
Method: DFT, PBE
State: relaxed

Summary:
theoretical density: 5.73 g cm⁻³
ΔE_f: 0.279 eV/atom
crystal system: tetragonal
relative energy among the computed polymorphs: 0 meV/atom

abc: 4.8694 4.8694 34.2497
angles: 90.00 90.00 90.00
With the nearest neighbours (Å) after each atom.
Space group I4/mmm (No. 139)
Unique sites:
Pr 0.0000 0.0000 0.1964  5 Y 3.45-3.49, 4 Pr 3.56
Pr 0.0000 0.5000 0.1205  6 Pr 3.44-3.56, 2 Nd 3.55, 2 Y 3.70
Nd 0.0000 0.0000 0.0450  1 Nd 3.08
Y 0.0000 0.0000 0.2983  9 Pr 3.45-3.70
Y 0.0000 0.0000 0.5000  8 Nd 3.77

No. 16
Material: Ac8Te4AsIr3
Method: DFT, PBE
State: relaxed

Summary:
ΔE_f (raw): -116.0 kJ per mole of atoms
theoretical density: 8.96 g cm⁻³
crystal system: trigonal

abc: 8.9861 8.9861 23.6738
angles: 90.00 90.00 120.00
With the nearest neighbours (Å) after each atom.
Space group R-3m (No. 166, hexagonal axes)
Unique sites:
Ac 0.0000 0.0000 0.2372  3 Ir 3.09, 3 Te 3.45
Ac 0.0113 0.5057 0.7632  2 Ir 3.04, 1 As 3.15, 1 Te 3.39
Te 0.0000 0.0000 0.0000  6 Ac 3.39
Te 0.0000 0.5000 0.0000  6 Ac 3.45-3.49
As 0.0000 0.0000 0.5000  6 Ac 3.15
Ir 0.0000 0.5000 0.5000  6 Ac 3.04-3.09

No. 17
Material: SrCrSn2
Method: DFT, PBE
State: relaxed

Summary:
theoretical density: 4.71 g cm⁻³
ΔE_f: 0.126 eV/atom
crystal system: tetragonal

abc: 5.3750 5.3750 18.4052
angles: 90.00 90.00 90.00
With the nearest neighbours (Å) after each atom.
Space group I-42d (No. 122)
Unique sites:
Sr 0.0000 0.0000 0.0000  4 Sn 3.38
Cr 0.0000 0.0000 0.5000  4 Sn 2.73
Sn 0.1127 0.2500 0.6250  2 Cr 2.73, 2 Sn 2.95

No. 18
Material: Sm2Y6Ho5
Method: DFT, PBE
State: relaxed

Summary:
theoretical density: 6.49 g cm⁻³
ΔE_f: 0.101 eV/atom
crystal system: orthorhombic

abc: 11.7006 20.2340 3.5835
angles: 90.00 90.00 90.00
With the nearest neighbours (Å) after each atom.
Space group Pbam (No. 55)
Unique sites:
Sm 0.1656 0.2121 0.0000  4 Y 3.35-3.73, 4 Ho 3.52-3.58, 2 Sm 3.58
Y 0.0573 0.9199 0.0000  6 Ho 3.47-3.58, 5 Y 3.51-3.75, 1 Sm 3.73
Y 0.0838 0.6316 0.0000  1 Sm 3.35, 6 Ho 3.36-3.53, 4 Y 3.52-3.58
Y 0.1752 0.3690 0.5000  2 Ho 3.32-3.35, 4 Y 3.52-3.58, 2 Sm 3.65
Ho 0.0000 0.5000 0.5000  6 Y 3.35-3.36, 4 Ho 3.58-3.66
Ho 0.0924 0.7744 0.5000  5 Y 3.32-3.47, 4 Sm 3.52-3.58, 2 Ho 3.58
Ho 0.1993 0.0492 0.5000  7 Y 3.53-3.93, 3 Ho 3.58-3.66, 2 Sm 3.77

No. 19
Material: ZrTc4
Method: DFT, PBE
State: relaxed

Summary:
theoretical density: 8.22 g cm⁻³
ΔE_f: 1.675 eV/atom
crystal system: cubic
relative energy among the computed polymorphs: 1600 meV/atom

abc: 5.8023 5.8023 5.8023
angles: 90.00 90.00 90.00
With the nearest neighbours (Å) after each atom.
Space group Im-3m (No. 229)
Unique sites:
Zr 0.0000 0.0000 0.0000  8 Tc 2.51
Tc 0.2500 0.2500 0.2500  2 Zr 2.51

No. 20
Material: Ba2PmHoSe4
Method: DFT, PBE
State: relaxed

Summary:
ΔE_f (raw): -182.0 kJ per mole of atoms
theoretical density: 6.24 g cm⁻³
crystal system: monoclinic

abc: 7.4869 4.3281 7.8076
angles: 90.00 108.68 90.00
With the nearest neighbours (Å) after each atom.
Space group P2/m (No. 10)
Unique sites:
Ba 0.0000 0.0000 0.0000  6 Se 3.29-3.30
Ba 0.5000 0.5000 0.0000  6 Se 3.24
Pm 0.0000 0.5000 0.5000  6 Se 2.99
Ho 0.5000 0.0000 0.5000  6 Se 2.92-2.93
Se 0.2457 0.0000 0.7168  1 Ho 2.92, 2 Pm 2.99, 2 Ba 3.24
Se 0.2684 0.5000 0.2868  2 Ho 2.93, 1 Pm 2.99, 1 Ba 3.24